(1)
Crystalline Pm5Zn4Ir at its relaxed geometry. Source: the Alexandria database, functional GGA-PBE.

Calculated values
The energy of formation comes out at -0.39 eV per atom. As for the crystal system: tetragonal. The magnetization comes out at 0.0 μB per formula unit. The calculation puts the density of states at the Fermi level at 8.91 states/eV/cell.

Unit cell a=3.634 b=3.634 c=18.239 alpha=90.00 beta=90.00 gamma=90.00
Atoms (fractional coordinates):
1 Pm 0.500 0.500 0.909
2 Pm 0.500 0.500 0.091
3 Pm 0.500 0.500 0.298
4 Pm 0.500 0.500 0.702
5 Pm 0.500 0.500 0.500
6 Ir 0.000 0.000 0.000
7 Zn 0.000 0.000 0.601
8 Zn 0.000 0.000 0.199
9 Zn 0.000 0.000 0.399
10 Zn 0.000 0.000 0.801

(2)
Crystalline PmZn11Ir at its relaxed geometry. Source: the Alexandria database, functional GGA-PBE.

Calculated values
The energy of formation comes out at -0.23 eV per atom. As for the crystal system: monoclinic. The magnetization comes out at 0.0 μB per formula unit. The calculation puts the density of states at the Fermi level at 5.34 states/eV/cell.

Unit cell a=5.169 b=6.848 c=6.897 alpha=81.60 beta=67.99 gamma=67.06
Atoms (fractional coordinates):
1 Zn 0.281 0.218 0.220
2 Zn 0.022 0.644 0.350
3 Zn 0.499 0.782 0.220
4 Zn 0.978 0.356 0.650
5 Zn 0.372 0.644 0.650
6 Zn 0.500 0.000 0.500
7 Zn 0.000 0.000 0.500
8 Zn 0.000 0.500 0.000
9 Zn 0.628 0.356 0.350
10 Zn 0.501 0.218 0.780
11 Zn 0.719 0.782 0.780
12 Ir 0.500 0.500 0.000
13 Pm 0.000 0.000 0.000

(3)
Crystalline Pm8Zn2Ir3 at its relaxed geometry. Source: the Alexandria database, functional GGA-PBE.

Calculated values
The energy of formation comes out at -0.36 eV per atom. As for the crystal system: monoclinic. The magnetization comes out at 0.0 μB per formula unit. The calculation puts the density of states at the Fermi level at 14.39 states/eV/cell.

Unit cell a=5.016 b=10.091 c=8.700 alpha=125.51 beta=90.00 gamma=90.00
Atoms (fractional coordinates):
1 Pm 0.500 0.870 0.237
2 Pm 0.500 0.631 0.763
3 Pm 0.500 0.369 0.237
4 Pm 0.500 0.130 0.763
5 Pm 0.000 0.120 0.239
6 Pm 0.000 0.381 0.763
7 Pm 0.000 0.880 0.761
8 Pm 0.000 0.619 0.237
9 Zn 0.500 0.253 0.506
10 Zn 0.500 0.747 0.494
11 Ir 0.500 0.000 0.000
12 Ir 0.000 0.744 0.000
13 Ir 0.000 0.256 0.000

(4)
Crystalline Pm2Zn5Ir at its relaxed geometry. Source: the Alexandria database, functional GGA-PBE.

Calculated values
The energy of formation comes out at -0.38 eV per atom. As for the crystal system: orthorhombic. The magnetization comes out at 0.0 μB per formula unit. The calculation puts the density of states at the Fermi level at 8.89 states/eV/cell.

Unit cell a=4.160 b=8.539 c=9.108 alpha=90.00 beta=90.00 gamma=104.10
Atoms (fractional coordinates):
1 Zn 0.646 0.292 0.019
2 Zn 0.194 0.389 0.890
3 Zn 0.398 0.797 0.250
4 Zn 0.806 0.611 0.390
5 Zn 0.194 0.389 0.610
6 Zn 0.806 0.611 0.110
7 Zn 0.602 0.203 0.750
8 Zn 0.646 0.292 0.481
9 Zn 0.354 0.708 0.981
10 Zn 0.354 0.708 0.519
11 Pm 0.000 0.000 0.000
12 Pm 0.183 0.367 0.250
13 Pm 0.000 0.000 0.500
14 Pm 0.817 0.633 0.750
15 Ir 0.447 0.894 0.750
16 Ir 0.553 0.106 0.250

(5)
Crystalline PmZnIr2 at its relaxed geometry. Source: the Alexandria database, functional GGA-PBE.

Calculated values
The energy of formation comes out at -0.27 eV per atom. As for the crystal system: tetragonal. The magnetization comes out at 0.0 μB per formula unit. The calculation puts the density of states at the Fermi level at 0.95 states/eV/cell.

Unit cell a=3.334 b=3.334 c=6.446 alpha=90.00 beta=90.00 gamma=90.00
Atoms (fractional coordinates):
1 Ir 0.000 0.000 0.788
2 Ir 0.000 0.000 0.212
3 Zn 0.500 0.500 0.000
4 Pm 0.500 0.500 0.500

(6)
Crystalline PmZn3Ir at its relaxed geometry. Source: the Alexandria database, functional GGA-PBE.

Calculated values
The energy of formation comes out at -0.25 eV per atom. As for the crystal system: orthorhombic. The magnetization comes out at 0.0 μB per formula unit. The calculation puts the density of states at the Fermi level at 1.90 states/eV/cell.

Unit cell a=4.453 b=4.591 c=5.616 alpha=114.13 beta=90.00 gamma=90.00
Atoms (fractional coordinates):
1 Zn 0.000 0.518 0.036
2 Zn 0.500 0.755 0.511
3 Zn 0.000 0.258 0.516
4 Ir 0.500 0.377 0.754
5 Pm 0.500 0.052 0.103

(7)
Crystalline Pm4Zn3Ir at its relaxed geometry. Source: the Alexandria database, functional GGA-PBE.

Calculated values
The energy of formation comes out at -0.41 eV per atom. As for the crystal system: tetragonal. The magnetization comes out at 0.0 μB per formula unit. The calculation puts the density of states at the Fermi level at 6.61 states/eV/cell.

Unit cell a=3.632 b=3.632 c=14.542 alpha=90.00 beta=90.00 gamma=90.00
Atoms (fractional coordinates):
1 Zn 0.500 0.500 0.500
2 Zn 0.500 0.500 0.750
3 Zn 0.500 0.500 0.250
4 Ir 0.500 0.500 0.000
5 Pm 0.000 0.000 0.626
6 Pm 0.000 0.000 0.374
7 Pm 0.000 0.000 0.886
8 Pm 0.000 0.000 0.114

(8)
Crystalline PmZn4Ir at its relaxed geometry. Source: the Alexandria database, functional GGA-PBE.

Calculated values
The energy of formation comes out at -0.36 eV per atom. As for the crystal system: cubic. The magnetization comes out at 0.0 μB per formula unit.

Unit cell a=5.179 b=5.179 c=5.179 alpha=60.00 beta=60.00 gamma=60.00
Atoms (fractional coordinates):
1 Zn 0.624 0.624 0.129
2 Zn 0.624 0.129 0.624
3 Zn 0.129 0.624 0.624
4 Zn 0.624 0.624 0.624
5 Ir 0.250 0.250 0.250
6 Pm 0.000 0.000 0.000

(9)
Crystalline Pm3Zn9Ir2 at its relaxed geometry. Source: the Alexandria database, functional GGA-PBE.

Calculated values
The energy of formation comes out at -0.39 eV per atom. As for the crystal system: orthorhombic. The magnetization comes out at 0.0 μB per formula unit. The calculation puts the density of states at the Fermi level at 10.20 states/eV/cell.

Unit cell a=4.286 b=8.296 c=8.296 alpha=66.28 beta=75.03 gamma=75.03
Atoms (fractional coordinates):
1 Ir 0.500 0.295 0.705
2 Ir 0.500 0.705 0.295
3 Zn 0.669 0.973 0.689
4 Zn 0.125 0.594 0.155
5 Zn 0.669 0.689 0.973
6 Zn 0.875 0.406 0.845
7 Zn 0.331 0.027 0.311
8 Zn 0.331 0.311 0.027
9 Zn 0.000 0.500 0.500
10 Zn 0.875 0.845 0.406
11 Zn 0.125 0.155 0.594
12 Pm 0.689 0.311 0.311
13 Pm 0.000 0.000 0.000
14 Pm 0.311 0.689 0.689

(10)
Crystalline PmZn6Ir2 at its relaxed geometry. Source: the Alexandria database, functional GGA-PBE.

Calculated values
The energy of formation comes out at -0.17 eV per atom. As for the crystal system: orthorhombic. The magnetization comes out at 0.0 μB per formula unit. The calculation puts the density of states at the Fermi level at 5.33 states/eV/cell.

Unit cell a=4.398 b=6.993 c=6.993 alpha=49.71 beta=71.67 gamma=71.67
Atoms (fractional coordinates):
1 Ir 0.884 0.616 0.616
2 Ir 0.116 0.384 0.384
3 Zn 0.298 0.457 0.947
4 Zn 0.702 0.053 0.543
5 Zn 0.702 0.543 0.053
6 Zn 0.298 0.947 0.457
7 Zn 0.500 0.697 0.303
8 Zn 0.500 0.303 0.697
9 Pm 0.000 0.000 0.000

(11)
Crystalline PmZn3Ir at its relaxed geometry. Source: the Alexandria database, functional GGA-PBE.

Calculated values
The energy of formation comes out at -0.34 eV per atom. As for the crystal system: monoclinic. The magnetization comes out at 0.0 μB per formula unit. The calculation puts the density of states at the Fermi level at 5.27 states/eV/cell.

Unit cell a=4.243 b=6.582 c=7.083 alpha=76.04 beta=90.00 gamma=90.00
Atoms (fractional coordinates):
1 Zn 0.381 0.019 0.931
2 Zn 0.881 0.256 0.048
3 Zn 0.881 0.674 0.501
4 Zn 0.881 0.655 0.875
5 Zn 0.381 0.418 0.758
6 Zn 0.381 0.001 0.305
7 Ir 0.381 0.813 0.664
8 Ir 0.881 0.862 0.142
9 Pm 0.881 0.130 0.597
10 Pm 0.381 0.545 0.209

(12)
Crystalline Pm3ZnIr3 at its relaxed geometry. Source: the Alexandria database, functional GGA-PBE.

Calculated values
The energy of formation comes out at -0.67 eV per atom. As for the crystal system: orthorhombic. The magnetization comes out at 0.0 μB per formula unit. The calculation puts the density of states at the Fermi level at 10.31 states/eV/cell.

Unit cell a=4.255 b=5.619 c=13.921 alpha=90.00 beta=90.00 gamma=112.25
Atoms (fractional coordinates):
1 Pm 0.487 0.973 0.750
2 Pm 0.797 0.594 0.396
3 Pm 0.797 0.594 0.104
4 Pm 0.203 0.406 0.604
5 Pm 0.203 0.406 0.896
6 Pm 0.513 0.027 0.250
7 Ir 0.086 0.172 0.090
8 Ir 0.229 0.459 0.250
9 Ir 0.771 0.541 0.750
10 Ir 0.086 0.172 0.410
11 Ir 0.914 0.828 0.910
12 Ir 0.914 0.828 0.590
13 Zn 0.500 0.000 0.000
14 Zn 0.500 0.000 0.500

Q: Among the records above, which one has the highest energy of formation?
A: PmZn6Ir2

Please write out number 1 again, unchanged.
Crystalline Pm5Zn4Ir at its relaxed geometry. Source: the Alexandria database, functional GGA-PBE.

Calculated values
The energy of formation comes out at -0.39 eV per atom. As for the crystal system: tetragonal. The magnetization comes out at 0.0 μB per formula unit. The calculation puts the density of states at the Fermi level at 8.91 states/eV/cell.

Unit cell a=3.634 b=3.634 c=18.239 alpha=90.00 beta=90.00 gamma=90.00
Atoms (fractional coordinates):
1 Pm 0.500 0.500 0.909
2 Pm 0.500 0.500 0.091
3 Pm 0.500 0.500 0.298
4 Pm 0.500 0.500 0.702
5 Pm 0.500 0.500 0.500
6 Ir 0.000 0.000 0.000
7 Zn 0.000 0.000 0.601
8 Zn 0.000 0.000 0.199
9 Zn 0.000 0.000 0.399
10 Zn 0.000 0.000 0.801